(1)
Compound: TbSmB
Source: OQMD via LeMat-Bulk
Functional: GGA-PBE
Structure: optimized geometry

Output
density = 7.8 g cm⁻³
crystal system = cubic
E above lowest polymorph = 0.00 eV/f.u.
uncorrected energy = -15.645 eV/cell
space-group type = F-43m, No. 216

Unit cell a=4.582 b=4.582 c=4.582 alpha=60.00 beta=60.00 gamma=60.00
Atoms (fractional coordinates):
Tb 0.750 0.750 0.750
Sm 0.250 0.250 0.250
B 0.000 0.000 0.000

---

(2)
Compound: MgHgSeO
Source: OQMD via LeMat-Bulk
Functional: GGA-PBE
Structure: optimized geometry

Output
density = 6.3 g cm⁻³
crystal system = orthorhombic
E above lowest polymorph = 1.22 eV/f.u.
uncorrected energy = -55.315 eV/cell
space-group type = Pca2_1, No. 29

Unit cell a=6.755 b=7.759 c=6.449 alpha=90.00 beta=90.00 gamma=90.00
Atoms (fractional coordinates):
Hg 0.107 0.115 0.461
Hg 0.893 0.885 0.961
Hg 0.607 0.885 0.461
Hg 0.393 0.115 0.961
Mg 0.551 0.331 0.539
Mg 0.449 0.669 0.039
Mg 0.051 0.669 0.539
Mg 0.949 0.331 0.039
Se 0.084 0.632 0.144
Se 0.584 0.368 0.144
Se 0.916 0.368 0.644
Se 0.416 0.632 0.644
O 0.423 0.116 0.606
O 0.923 0.884 0.606
O 0.077 0.116 0.106
O 0.577 0.884 0.106

---

(3)
Compound: BeFeCuAs
Source: OQMD via LeMat-Bulk
Functional: GGA-PBE
Structure: optimized geometry

Output
density = 7.4 g cm⁻³
crystal system = cubic
E above lowest polymorph = 0.28 eV/f.u.
uncorrected energy = -19.354 eV/cell
space-group type = F-43m, No. 216

Unit cell a=4.013 b=4.013 c=4.013 alpha=60.00 beta=60.00 gamma=60.00
Site moments in Bohr magnetons follow the coordinates.
Atoms (fractional coordinates):
Fe 0.750 0.750 0.750  1.57
Cu 0.500 0.500 0.500  0.07
As 0.000 0.000 0.000  -0.01
Be 0.250 0.250 0.250  -0.02

---

(4)
Compound: Nb4AsPC2
Source: OQMD via LeMat-Bulk
Functional: GGA-PBE
Structure: optimized geometry

Output
density = 7.3 g cm⁻³
crystal system = hexagonal
uncorrected energy = -74.404 eV/cell
space-group type = P-6m2, No. 187

Unit cell a=3.319 b=3.319 c=11.878 alpha=90.00 beta=90.00 gamma=120.00
Atoms (fractional coordinates):
Nb 0.000 0.000 0.659
Nb 0.000 0.000 0.341
Nb 0.667 0.333 0.146
Nb 0.667 0.333 0.854
C 0.333 0.667 0.246
C 0.333 0.667 0.754
As 0.667 0.333 0.500
P 0.000 0.000 0.000

---

(5)
Compound: TbSbNO
Source: OQMD via LeMat-Bulk
Functional: GGA-PBE
Structure: optimized geometry

Output
density = 7.7 g cm⁻³
crystal system = orthorhombic
E above lowest polymorph = 0.92 eV/f.u.
uncorrected energy = -106.659 eV/cell
space-group type = Pca2_1, No. 29

Unit cell a=6.632 b=7.224 c=5.561 alpha=90.00 beta=90.00 gamma=90.00
Atoms (fractional coordinates):
O 0.565 0.425 0.197
O 0.065 0.575 0.197
O 0.435 0.575 0.697
O 0.935 0.425 0.697
Sb 0.127 0.322 0.975
Sb 0.873 0.678 0.475
Sb 0.373 0.322 0.475
Sb 0.627 0.678 0.975
N 0.086 0.883 0.557
N 0.586 0.117 0.557
N 0.414 0.883 0.057
N 0.914 0.117 0.057
Tb 0.583 0.157 0.974
Tb 0.917 0.157 0.474
Tb 0.417 0.843 0.474
Tb 0.083 0.843 0.974

---

(6)
Compound: NdMoW
Source: OQMD via LeMat-Bulk
Functional: GGA-PBE
Structure: optimized geometry

Output
formation energy from the elements = 0.995 eV/atom
density = 10.3 g cm⁻³
crystal system = cubic
E above lowest polymorph = 0.00 eV/f.u.
uncorrected energy = -25.586 eV/cell
space-group type = F-43m, No. 216

Unit cell a=4.596 b=4.596 c=4.596 alpha=60.00 beta=60.00 gamma=60.00
Site moments in Bohr magnetons follow the coordinates.
Atoms (fractional coordinates):
W 0.000 0.000 0.000  -0.01
Nd 0.750 0.750 0.750  0.00
Mo 0.250 0.250 0.250  0.08

---

(7)
Compound: PaB2
Source: OQMD via LeMat-Bulk
Functional: GGA-PBE
Structure: optimized geometry

Output
density = 11.7 g cm⁻³
crystal system = hexagonal
uncorrected energy = -24.838 eV/cell
space-group type = P6/mmm, No. 191

Unit cell a=3.179 b=3.179 c=4.086 alpha=90.00 beta=90.00 gamma=120.00
Atoms (fractional coordinates):
B 0.667 0.333 0.000
B 0.333 0.667 0.000
Pa 0.000 0.000 0.500

---

(8)
Compound: Tb2DyAl3NiGe2
Source: OQMD via LeMat-Bulk
Functional: GGA-PBE
Structure: optimized geometry

Output
density = 7.2 g cm⁻³
crystal system = orthorhombic
uncorrected energy = -46.623 eV/cell
space-group type = Amm2, No. 38

Unit cell a=4.190 b=6.961 c=6.961 alpha=119.99 beta=90.00 gamma=90.00
Atoms (fractional coordinates):
Tb 0.000 0.597 0.000
Tb 0.000 0.000 0.597
Al 0.500 0.000 0.229
Al 0.500 0.771 0.771
Al 0.500 0.229 0.000
Ge 0.500 0.334 0.666
Ge 0.500 0.666 0.334
Dy 0.000 0.403 0.403
Ni 0.000 0.001 0.001

---

(9)
Compound: AlTlCu2S4
Source: OQMD via LeMat-Bulk
Functional: GGA-PBE
Structure: optimized geometry

Output
density = 4.9 g cm⁻³
crystal system = tetragonal
uncorrected energy = -34.092 eV/cell
space-group type = I-4, No. 82

Unit cell a=6.693 b=6.693 c=6.693 alpha=131.53 beta=131.53 gamma=70.98
Atoms (fractional coordinates):
Cu 0.500 0.500 0.000
Cu 0.750 0.250 0.500
Tl 0.000 0.000 0.000
S 0.588 0.132 0.992
S 0.868 0.860 0.455
S 0.405 0.412 0.545
S 0.140 0.595 0.008
Al 0.250 0.750 0.500

---

(10)
Compound: Ba2HgP2
Source: OQMD via LeMat-Bulk
Functional: GGA-PBE
Structure: optimized geometry

Output
density = 5.9 g cm⁻³
crystal system = tetragonal
uncorrected energy = -38.120 eV/cell
space-group type = P4/mbm, No. 127

Unit cell a=8.322 b=8.322 c=4.402 alpha=90.00 beta=90.00 gamma=90.00
Atoms (fractional coordinates):
Ba 0.312 0.812 0.500
Ba 0.812 0.688 0.500
Ba 0.188 0.312 0.500
Ba 0.688 0.188 0.500
P 0.907 0.407 0.000
P 0.093 0.593 0.000
P 0.407 0.093 0.000
P 0.593 0.907 0.000
Hg 0.000 0.000 0.000
Hg 0.500 0.500 0.000

---

(11)
Compound: AlFeCoCu
Source: OQMD via LeMat-Bulk
Functional: GGA-PBE
Structure: optimized geometry

Output
density = 7.2 g cm⁻³
crystal system = cubic
E above lowest polymorph = 0.00 eV/f.u.
uncorrected energy = -23.573 eV/cell
space-group type = F-43m, No. 216

Unit cell a=4.061 b=4.061 c=4.061 alpha=60.00 beta=60.00 gamma=60.00
Site moments in Bohr magnetons follow the coordinates.
Atoms (fractional coordinates):
Al 0.250 0.250 0.250  -0.03
Fe 0.750 0.750 0.750  2.51
Cu 0.000 0.000 0.000  -0.02
Co 0.500 0.500 0.500  1.00

---

(12)
Compound: KAuO3
Source: OQMD via LeMat-Bulk
Functional: GGA-PBE
Structure: optimized geometry

Output
density = 5.7 g cm⁻³
crystal system = tetragonal
uncorrected energy = -18.904 eV/cell
space-group type = P4mm, No. 99

Unit cell a=4.135 b=4.135 c=4.814 alpha=90.00 beta=90.00 gamma=90.00
Atoms (fractional coordinates):
Au 0.000 0.000 0.841
K 0.500 0.500 0.390
O 0.000 0.500 0.889
O 0.500 0.500 0.893
O 0.500 0.000 0.889

---

(13)
Compound: GaCuNiMo
Source: OQMD via LeMat-Bulk
Functional: GGA-PBE
Structure: optimized geometry

Output
density = 9.0 g cm⁻³
crystal system = cubic
E above lowest polymorph = 0.04 eV/f.u.
uncorrected energy = -22.768 eV/cell
space-group type = F-43m, No. 216

Unit cell a=4.225 b=4.225 c=4.225 alpha=60.00 beta=60.00 gamma=60.00
Atoms (fractional coordinates):
Cu 0.750 0.750 0.750
Ga 0.000 0.000 0.000
Ni 0.250 0.250 0.250
Mo 0.500 0.500 0.500

---

(14)
Compound: Sr8Cu3Pb4N5
Source: OQMD via LeMat-Bulk
Functional: GGA-PBE
Structure: optimized geometry

Output
density = 6.3 g cm⁻³
crystal system = orthorhombic
uncorrected energy = -90.573 eV/cell
space-group type = Immm, No. 71

Unit cell a=11.520 b=11.520 c=11.520 alpha=160.70 beta=110.93 gamma=72.48
Atoms (fractional coordinates):
N 0.847 0.701 0.146
N 0.445 0.299 0.146
N 0.153 0.299 0.854
N 0.555 0.701 0.854
N 0.500 0.000 0.500
Sr 0.050 0.705 0.345
Sr 0.950 0.295 0.655
Sr 0.640 0.295 0.345
Sr 0.257 0.898 0.359
Sr 0.539 0.898 0.641
Sr 0.360 0.705 0.655
Sr 0.743 0.102 0.641
Sr 0.461 0.102 0.359
Pb 0.081 0.081 0.000
Pb 0.919 0.919 0.000
Pb 0.826 0.500 0.326
Pb 0.174 0.500 0.674
Cu 0.702 0.702 0.000
Cu 0.298 0.298 0.000
Cu 0.500 0.500 0.000

---

(15)
Compound: SrDyPO
Source: OQMD via LeMat-Bulk
Functional: GGA-PBE
Structure: optimized geometry

Output
density = 5.7 g cm⁻³
crystal system = tetragonal
E above lowest polymorph = 1.57 eV/f.u.
uncorrected energy = -46.724 eV/cell
space-group type = P4/nmm, No. 129

Unit cell a=4.352 b=4.352 c=9.079 alpha=90.00 beta=90.00 gamma=90.00
Atoms (fractional coordinates):
P 0.750 0.750 0.285
P 0.250 0.250 0.715
Dy 0.250 0.250 0.089
Dy 0.750 0.750 0.911
O 0.750 0.250 0.000
O 0.250 0.750 0.000
Sr 0.250 0.750 0.500
Sr 0.750 0.250 0.500

---

(16)
Compound: GdZn
Source: OQMD via LeMat-Bulk
Functional: GGA-PBE
Structure: optimized geometry

Output
formation energy from the elements = -0.158 eV/atom
density = 8.1 g cm⁻³
crystal system = monoclinic
E above lowest polymorph = 0.36 eV/f.u.
uncorrected energy = -37.415 eV/cell
space-group type = Pm, No. 6

Unit cell a=8.218 b=6.945 c=4.787 alpha=90.00 beta=90.00 gamma=92.76
Atoms (fractional coordinates):
Gd 0.834 0.796 0.500
Gd 0.850 0.250 0.500
Gd 0.373 0.805 0.000
Gd 0.000 0.535 0.000
Gd 0.386 0.259 0.000
Gd 0.223 0.522 0.500
Zn 0.661 0.563 0.000
Zn 0.036 0.052 0.000
Zn 0.186 0.002 0.500
Zn 0.561 0.491 0.500
Zn 0.707 0.018 0.000
Zn 0.515 0.039 0.500

---

(17)
Compound: LiCdAs
Source: OQMD via LeMat-Bulk
Functional: GGA-PBE
Structure: optimized geometry

Output
density = 5.8 g cm⁻³
crystal system = hexagonal
uncorrected energy = -16.652 eV/cell
space-group type = P6_3/mmc, No. 194

Unit cell a=4.376 b=4.376 c=6.659 alpha=90.00 beta=90.00 gamma=120.00
Atoms (fractional coordinates):
Li 0.667 0.333 0.250
Li 0.333 0.667 0.750
As 0.333 0.667 0.250
As 0.667 0.333 0.750
Cd 0.000 0.000 0.000
Cd 0.000 0.000 0.500

---

(18)
Compound: Ho3ScC2Se2
Source: OQMD via LeMat-Bulk
Functional: GGA-PBE
Structure: optimized geometry

Output
density = 7.8 g cm⁻³
crystal system = trigonal
uncorrected energy = -54.679 eV/cell
space-group type = P3m1, No. 156

Unit cell a=3.686 b=3.686 c=12.995 alpha=90.00 beta=90.00 gamma=120.00
Atoms (fractional coordinates):
Ho 0.667 0.333 0.400
Ho 0.000 0.000 0.605
Ho 0.667 0.333 0.093
Se 0.667 0.333 0.760
Se 0.000 0.000 0.247
C 0.333 0.667 0.993
C 0.333 0.667 0.503
Sc 0.000 0.000 0.900

---

(19)
Compound: ZnGe
Source: OQMD via LeMat-Bulk
Functional: GGA-PBE
Structure: optimized geometry

Output
density = 6.5 g cm⁻³
crystal system = orthorhombic
uncorrected energy = -32.712 eV/cell
space-group type = Pmc2_1, No. 26

Unit cell a=4.858 b=9.003 c=4.836 alpha=90.00 beta=90.00 gamma=90.00
Atoms (fractional coordinates):
Zn 0.005 0.348 0.000
Zn 0.326 0.336 0.500
Zn 0.826 0.831 0.500
Zn 0.505 0.818 0.000
Zn 0.488 0.509 0.000
Zn 0.988 0.658 0.000
Ge 0.337 0.989 0.500
Ge 0.514 0.198 0.000
Ge 0.329 0.662 0.500
Ge 0.837 0.178 0.500
Ge 0.014 0.969 0.000
Ge 0.829 0.505 0.500

---

(20)
Compound: Ag2N
Source: OQMD via LeMat-Bulk
Functional: GGA-PBE
Structure: optimized geometry

Output
density = 8.4 g cm⁻³
crystal system = monoclinic
E above lowest polymorph = 0.00 eV/f.u.
uncorrected energy = -44.053 eV/cell
space-group type = P2_1/c, No. 14

Unit cell a=6.447 b=5.198 c=5.955 alpha=90.00 beta=115.07 gamma=90.00
Atoms (fractional coordinates):
N 0.185 0.046 0.225
N 0.815 0.546 0.275
N 0.815 0.954 0.775
N 0.185 0.454 0.725
Ag 0.587 0.799 0.379
Ag 0.413 0.299 0.121
Ag 0.587 0.701 0.879
Ag 0.164 0.726 0.444
Ag 0.836 0.274 0.556
Ag 0.413 0.201 0.621
Ag 0.164 0.774 0.944
Ag 0.836 0.226 0.056